Entry 1:
{"formula": "SiNiCl2", "functional": "PBE", "state": "relaxed", "lattice": [[4.573, 0.000, 0.000], [2.287, 3.960, 0.000], [2.287, 1.320, 3.734]], "species": ["Cl", "Cl", "Ni", "Si"], "fractional_positions": [[0.000, 0.000, 0.000], [0.250, 0.250, 0.250], [0.500, 0.500, 0.500], [0.750, 0.750, 0.750]], "e_above_lowest_polymorph_ev_per_fu": 3.93, "total_energy_ev_per_cell": -12.78, "e_form_raw_mev_per_atom": 529}



Entry 2:
{"formula": "NdIn3Hg6", "functional": "PBE", "state": "relaxed", "lattice": [[4.995, 0.000, 0.000], [0.000, 12.519, 0.014], [0.000, -4.077, 8.808]], "species": ["Nd", "Nd", "In", "In", "In", "In", "In", "In", "Hg", "Hg", "Hg", "Hg", "Hg", "Hg", "Hg", "Hg", "Hg", "Hg", "Hg", "Hg"], "fractional_positions": [[0.750, 0.075, 0.752], [0.250, 0.925, 0.248], [0.750, 0.350, 0.757], [0.250, 0.650, 0.243], [0.750, 0.570, 0.398], [0.250, 0.430, 0.602], [0.750, 0.077, 0.102], [0.250, 0.923, 0.898], [0.750, 0.575, 0.718], [0.250, 0.425, 0.282], [0.750, 0.805, 0.018], [0.250, 0.195, 0.982], [0.750, 0.361, 0.067], [0.250, 0.639, 0.933], [0.750, 0.808, 0.355], [0.250, 0.192, 0.645], [0.750, 0.097, 0.430], [0.250, 0.903, 0.570], [0.750, 0.801, 0.687], [0.250, 0.199, 0.313]], "total_energy_ev_per_cell": -32.07, "dos_ef_per_ev_cell": 7.52, "formation_energy_ev_per_atom": -0.124}



Entry 3:
{"formula": "BeFe2Ru", "functional": "PBE", "state": "relaxed", "lattice": [[4.522, 0.009, 0.104], [1.749, 4.170, -0.104], [-2.797, -2.598, 2.427]], "species": ["Ru", "Fe", "Fe", "Be"], "fractional_positions": [[0.493, 0.493, 0.000], [0.006, 0.006, 0.000], [0.759, 0.259, 0.500], [0.242, 0.742, 0.500]], "total_energy_ev_per_cell": -29.80, "dos_ef_per_ev_cell": 4.14, "formation_energy_ev_per_atom": 0.032}



Entry 4:
{"formula": "La4Ag2Br", "functional": "PBE", "state": "relaxed", "lattice": [[4.084, 0.000, 1.236], [1.696, 6.680, 1.762], [-0.205, 0.419, 8.039]], "species": ["Br", "Ag", "Ag", "La", "La", "La", "La"], "fractional_positions": [[0.000, 0.000, 0.000], [0.385, 0.550, 0.679], [0.615, 0.450, 0.321], [0.096, 0.206, 0.601], [0.904, 0.794, 0.399], [0.321, 0.270, 0.089], [0.679, 0.730, 0.911]], "total_energy_ev_per_cell": -30.50, "e_form_raw_mev_per_atom": -487, "dos_ef_per_ev_cell": 6.58}



Entry 5:
{"formula": "Sr3HgN", "functional": "PBE", "state": "relaxed", "lattice": [[5.288, 0.000, -1.039], [-0.212, 5.042, -1.078], [-0.500, -0.217, 11.435]], "species": ["Sr", "Sr", "Sr", "Sr", "Sr", "Sr", "Hg", "Hg", "N", "N"], "fractional_positions": [[0.813, 0.063, 0.126], [0.187, 0.937, 0.874], [0.055, 0.305, 0.610], [0.945, 0.695, 0.390], [0.420, 0.170, 0.341], [0.580, 0.830, 0.659], [0.309, 0.559, 0.117], [0.691, 0.441, 0.883], [0.072, 0.822, 0.644], [0.928, 0.178, 0.356]], "total_energy_ev_per_cell": -31.97, "e_form_raw_mev_per_atom": -462, "dos_ef_per_ev_cell": 7.86}



Entry 6:
{"formula": "Cs2DyCu2Te4", "functional": "PBE", "state": "relaxed", "lattice": [[-0.985, 2.523, 3.374], [-7.663, 2.633, -4.206], [-1.253, -7.819, 2.706]], "species": ["Cs", "Cs", "Dy", "Cu", "Cu", "Te", "Te", "Te", "Te"], "fractional_positions": [[0.134, 0.552, 0.267], [0.866, 0.448, 0.733], [0.000, 0.000, 0.000], [0.682, 0.986, 0.363], [0.318, 0.014, 0.637], [0.199, 0.163, 0.399], [0.801, 0.837, 0.601], [0.524, 0.778, 0.049], [0.476, 0.222, 0.951]], "total_energy_ev_per_cell": -34.65, "e_form_raw_mev_per_atom": -843, "dos_ef_per_ev_cell": 3.75}



Entry 7:
{"formula": "PuGa3Rh2", "functional": "PBE", "state": "relaxed", "lattice": [[-3.108, -1.870, -4.900], [2.966, -1.399, -5.140], [0.513, -7.305, -1.331]], "species": ["Pu", "Pu", "Ga", "Ga", "Ga", "Ga", "Ga", "Ga", "Rh", "Rh", "Rh", "Rh"], "fractional_positions": [[0.780, 0.780, 0.661], [0.220, 0.220, 0.339], [0.243, 0.733, 0.291], [0.733, 0.243, 0.291], [0.733, 0.733, 0.291], [0.267, 0.757, 0.709], [0.757, 0.267, 0.709], [0.267, 0.267, 0.709], [0.000, 0.000, 0.000], [0.000, 0.500, 0.000], [0.500, 0.500, 0.000], [0.500, 0.000, 0.000]], "total_energy_ev_per_cell": -81.11, "dos_ef_per_ev_cell": 22.34, "formation_energy_ev_per_atom": -0.407}



Entry 8:
{"formula": "CoPd3Pb", "functional": "PBE", "state": "relaxed", "lattice": [[-1.169, 2.128, 4.396], [-0.424, -4.548, 2.088], [4.866, 0.115, 1.238]], "species": ["Pb", "Co", "Pd", "Pd", "Pd"], "fractional_positions": [[0.000, 0.000, 0.000], [0.500, 0.500, 0.500], [0.000, 0.500, 0.000], [0.000, 0.000, 0.500], [0.500, 0.000, 0.000]], "e_above_lowest_polymorph_ev_per_fu": 3.71, "total_energy_ev_per_cell": -20.23, "dos_ef_per_ev_cell": 5.35, "formation_energy_ev_per_atom": 1.232}



Entry 9:
{"formula": "YW2Au", "functional": "PBE", "state": "relaxed", "lattice": [[-0.820, -3.189, 0.091], [0.227, 0.036, 3.290], [-6.772, 1.848, 3.766]], "species": ["Au", "W", "W", "Y"], "fractional_positions": [[0.500, 0.722, 0.777], [0.000, 0.970, 0.028], [0.500, 0.300, 0.202], [0.000, 0.508, 0.493]], "e_above_lowest_polymorph_ev_per_fu": 0.00, "total_energy_ev_per_cell": -35.10, "dos_ef_per_ev_cell": 5.07, "formation_energy_ev_per_atom": 0.138}